1.
This record from the Alexandria database describes a geometry-optimized YMgNiAg structure. The functional is PBE.

a = 4.7885 Å, b = 4.7885 Å, c = 4.7885 Å
α = 60.00°, β = 60.00°, γ = 60.00°
Sites, in units of the cell vectors:
Mg1 0.7500 0.7500 0.7500
Ni1 0.5000 0.5000 0.5000
Y1 0.2500 0.2500 0.2500
Ag1 0.0000 0.0000 0.0000

Summary:
* total magnetization: 0.000 μB/f.u.
* energy of formation: -239 meV per atom
* crystal system: cubic



2.
This record from the Alexandria database describes a geometry-optimized GeTeBr2F structure. The functional is PBE.

a = 5.8557 Å, b = 5.8557 Å, c = 4.3434 Å
α = 90.00°, β = 90.00°, γ = 90.00°
Sites, in units of the cell vectors:
F1 0.0000 0.0000 0.5000
Ge1 0.5000 0.5000 0.5000
Br1 0.0000 0.5000 0.0000
Br2 0.5000 0.0000 0.0000
Te1 0.0000 0.0000 0.0000

Summary:
* total magnetization: 0.908 μB/f.u.
* crystal system: tetragonal
* formation energy without anion corrections: -0.119 eV/atom



3.
This record from the Alexandria database describes a geometry-optimized Pm12SmSc2 structure. The functional is PBE.

a = 6.2565 Å, b = 6.2565 Å, c = 28.6851 Å
α = 100.13°, β = 79.87°, γ = 68.51°
Sites, in units of the cell vectors:
Pm1 0.8279 0.6721 0.1357
Pm2 0.2468 0.8728 0.4412
Pm3 0.8298 0.6702 0.3656
Pm4 0.9171 0.0844 0.0665
Pm5 0.5041 0.9959 0.5346
Pm6 0.3911 0.4902 0.6684
Pm7 0.1701 0.3299 0.8676
Pm8 0.6272 0.2532 0.4412
Pm9 0.7543 0.2385 0.7964
Pm10 0.8728 0.2468 0.5588
Pm11 0.2532 0.6272 0.5588
Pm12 0.0098 0.1089 0.6684
Pm13 0.2385 0.7543 0.2036
Pm14 0.4156 0.5829 0.0665
Pm15 0.9959 0.5041 0.4654
Pm16 0.7457 0.2615 0.2036
Pm17 0.6721 0.8279 0.8643
Pm18 0.6702 0.8298 0.6344
Pm19 0.0844 0.9171 0.9335
Pm20 0.5829 0.4156 0.9335
Pm21 0.3299 0.1701 0.1324
Pm22 0.4902 0.3911 0.3316
Pm23 0.1089 0.0098 0.3316
Pm24 0.2615 0.7457 0.7964
Sc1 0.1717 0.3283 0.2554
Sc2 0.6704 0.8296 0.2622
Sc3 0.3283 0.1717 0.7446
Sc4 0.8296 0.6704 0.7378
Sm1 0.5023 0.9977 0.9989
Sm2 0.9977 0.5023 0.0011

Summary:
* total magnetization: 0.000 μB/f.u.
* energy of formation: 81 meV per atom
* crystal system: monoclinic



4.
This record from the Alexandria database describes a geometry-optimized LiBeGeRh2 structure. The functional is PBE.

a = 4.1282 Å, b = 4.0225 Å, c = 4.1282 Å
α = 90.00°, β = 90.00°, γ = 90.00°
Sites, in units of the cell vectors:
Rh1 0.5000 0.0000 0.0000
Rh2 0.0000 0.0000 0.5000
Be1 0.5000 0.5000 0.5000
Ge1 0.0000 0.5000 0.0000
Li1 0.0000 0.0000 0.0000

Summary:
* total magnetization: 0.000 μB/f.u.
* energy of formation: 585 meV per atom
* crystal system: tetragonal



5.
This record from the Alexandria database describes a geometry-optimized SmBiRh structure. The functional is PBE.

a = 3.6543 Å, b = 4.7455 Å, c = 4.7455 Å
α = 120.00°, β = 90.00°, γ = 90.00°
Sites, in units of the cell vectors:
Rh1 0.1670 0.0000 0.0000
Sm1 0.6665 0.3333 0.6667
Bi1 0.1665 0.6667 0.3333

Summary:
* total magnetization: 0.000 μB/f.u.
* energy of formation: -644 meV per atom
* crystal system: hexagonal



6.
This record from the Alexandria database describes a geometry-optimized Ac2ErCu2O6 structure. The functional is PBE.

a = 5.9986 Å, b = 5.9986 Å, c = 6.5550 Å
α = 62.77°, β = 62.77°, γ = 60.00°
Sites, in units of the cell vectors:
Er1 0.0000 0.0000 0.0000
Cu1 0.5790 0.5790 0.2631
Cu2 0.4210 0.4210 0.7369
Ac1 0.2093 0.2093 0.3721
Ac2 0.7907 0.7907 0.6279
O1 0.7909 0.2458 0.7176
O2 0.2458 0.7909 0.7176
O3 0.7542 0.2091 0.2824
O4 0.2458 0.2458 0.7176
O5 0.7542 0.7542 0.2824
O6 0.2091 0.7542 0.2824

Summary:
* total magnetization: 1.074 μB/f.u.
* crystal system: trigonal
* formation energy without anion corrections: -2.248 eV/atom



7.
This record from the Alexandria database describes a geometry-optimized YTmCdAg structure. The functional is PBE.

a = 5.1927 Å, b = 5.1927 Å, c = 5.1927 Å
α = 60.00°, β = 60.00°, γ = 60.00°
Sites, in units of the cell vectors:
Tm1 0.2500 0.2500 0.2500
Y1 0.7500 0.7500 0.7500
Cd1 0.0000 0.0000 0.0000
Ag1 0.5000 0.5000 0.5000

Summary:
* total magnetization: 0.000 μB/f.u.
* energy of formation: -317 meV per atom
* crystal system: cubic



8.
This record from the Alexandria database describes a geometry-optimized La2Tb12Y structure. The functional is PBE.

a = 6.6908 Å, b = 6.6908 Å, c = 25.1616 Å
α = 83.45°, β = 96.55°, γ = 64.68°
Sites, in units of the cell vectors:
La1 0.4559 0.0441 0.2727
La2 0.5469 0.9531 0.7266
La3 0.9531 0.5469 0.2734
La4 0.0441 0.4559 0.7273
Tb1 0.6827 0.8173 0.5729
Tb2 0.8356 0.1692 0.4451
Tb3 0.3991 0.1009 0.8650
Tb4 0.3308 0.6644 0.4451
Tb5 0.0555 0.9445 0.0733
Tb6 0.9445 0.0555 0.9267
Tb7 0.4445 0.5555 0.9267
Tb8 0.6644 0.3308 0.5549
Tb9 0.0025 0.9997 0.6691
Tb10 0.8992 0.6008 0.8655
Tb11 0.8994 0.1002 0.1998
Tb12 0.1009 0.3991 0.1350
Tb13 0.6006 0.3998 0.8002
Tb14 0.5555 0.4445 0.0733
Tb15 0.6008 0.8992 0.1345
Tb16 0.1756 0.3244 0.5702
Tb17 0.5003 0.4975 0.6691
Tb18 0.8173 0.6827 0.4271
Tb19 0.4975 0.5003 0.3309
Tb20 0.9997 0.0025 0.3309
Tb21 0.3244 0.1756 0.4298
Tb22 0.1692 0.8356 0.5549
Tb23 0.1002 0.8994 0.8002
Tb24 0.3998 0.6006 0.1998
Y1 0.4999 0.0001 0.9998
Y2 0.0001 0.4999 0.0002

Summary:
* total magnetization: 0.000 μB/f.u.
* energy of formation: 106 meV per atom
* crystal system: monoclinic



9.
This record from the Alexandria database describes a geometry-optimized PrTaAlO6 structure. The functional is PBE.

a = 5.1818 Å, b = 5.1817 Å, c = 5.1324 Å
α = 90.00°, β = 90.00°, γ = 60.00°
Sites, in units of the cell vectors:
O1 0.6346 0.9894 0.2898
O2 0.3760 0.9894 0.7101
O3 0.9893 0.3760 0.2898
O4 0.9893 0.6347 0.7102
O5 0.6346 0.3760 0.7102
O6 0.3760 0.6346 0.2898
Pr1 0.0000 0.0000 0.0000
Al1 0.6666 0.6667 0.5000
Ta1 0.3333 0.3334 0.5000

Summary:
* total magnetization: 1.069 μB/f.u.
* crystal system: trigonal
* formation energy without anion corrections: -2.794 eV/atom



10.
This record from the Alexandria database describes a geometry-optimized UNb2AlC4 structure. The functional is PBE.

a = 3.2335 Å, b = 5.7061 Å, c = 11.1371 Å
α = 90.00°, β = 90.00°, γ = 106.46°
Sites, in units of the cell vectors:
U1 0.1183 0.2366 0.7500
U2 0.8817 0.7634 0.2500
C1 0.4598 0.9196 0.7500
C2 0.2665 0.5330 0.3803
C3 0.5402 0.0804 0.2500
C4 0.2665 0.5330 0.1197
C5 0.7335 0.4670 0.6197
C6 0.7335 0.4670 0.8803
C7 0.0000 0.0000 0.0000
C8 0.0000 0.0000 0.5000
Al1 0.1453 0.2907 0.2500
Al2 0.8547 0.7093 0.7500
Nb1 0.6310 0.2620 0.4603
Nb2 0.3690 0.7380 0.9603
Nb3 0.3690 0.7380 0.5397
Nb4 0.6310 0.2620 0.0397

Summary:
* total magnetization: 0.997 μB/f.u.
* energy of formation: -176 meV per atom
* crystal system: orthorhombic



11.
This record from the Alexandria database describes a geometry-optimized LiF structure. The functional is PBE.

a = 4.3867 Å, b = 4.3867 Å, c = 4.3867 Å
α = 90.00°, β = 90.00°, γ = 90.00°
Sites, in units of the cell vectors:
F1 0.5000 0.0000 0.5000
F2 0.0000 0.5000 0.5000
F3 0.5000 0.5000 0.0000
F4 0.0000 0.0000 0.0000
Li1 0.7500 0.2500 0.7500
Li2 0.7500 0.7500 0.2500
Li3 0.2500 0.7500 0.7500
Li4 0.2500 0.2500 0.2500

Summary:
* total magnetization: 0.000 μB/f.u.
* crystal system: cubic
* formation energy without anion corrections: -2.935 eV/atom



12.
This record from the Alexandria database describes a geometry-optimized PmErMg4 structure. The functional is PBE.

a = 5.2487 Å, b = 5.2478 Å, c = 8.4414 Å
α = 107.91°, β = 71.89°, γ = 59.99°
Sites, in units of the cell vectors:
Er1 0.0000 0.0000 0.0000
Pm1 0.5000 0.5000 0.5000
Mg1 0.5799 0.0867 0.7535
Mg2 0.0859 0.5808 0.2473
Mg3 0.4201 0.9133 0.2465
Mg4 0.9141 0.4192 0.7527

Summary:
* total magnetization: 0.000 μB/f.u.
* energy of formation: -76 meV per atom
* crystal system: monoclinic



What is the total magnetization in the tenth record? 0.997 μB/f.u.



Copy entry 3 word for word.
This record from the Alexandria database describes a geometry-optimized Pm12SmSc2 structure. The functional is PBE.

a = 6.2565 Å, b = 6.2565 Å, c = 28.6851 Å
α = 100.13°, β = 79.87°, γ = 68.51°
Sites, in units of the cell vectors:
Pm1 0.8279 0.6721 0.1357
Pm2 0.2468 0.8728 0.4412
Pm3 0.8298 0.6702 0.3656
Pm4 0.9171 0.0844 0.0665
Pm5 0.5041 0.9959 0.5346
Pm6 0.3911 0.4902 0.6684
Pm7 0.1701 0.3299 0.8676
Pm8 0.6272 0.2532 0.4412
Pm9 0.7543 0.2385 0.7964
Pm10 0.8728 0.2468 0.5588
Pm11 0.2532 0.6272 0.5588
Pm12 0.0098 0.1089 0.6684
Pm13 0.2385 0.7543 0.2036
Pm14 0.4156 0.5829 0.0665
Pm15 0.9959 0.5041 0.4654
Pm16 0.7457 0.2615 0.2036
Pm17 0.6721 0.8279 0.8643
Pm18 0.6702 0.8298 0.6344
Pm19 0.0844 0.9171 0.9335
Pm20 0.5829 0.4156 0.9335
Pm21 0.3299 0.1701 0.1324
Pm22 0.4902 0.3911 0.3316
Pm23 0.1089 0.0098 0.3316
Pm24 0.2615 0.7457 0.7964
Sc1 0.1717 0.3283 0.2554
Sc2 0.6704 0.8296 0.2622
Sc3 0.3283 0.1717 0.7446
Sc4 0.8296 0.6704 0.7378
Sm1 0.5023 0.9977 0.9989
Sm2 0.9977 0.5023 0.0011

Summary:
* total magnetization: 0.000 μB/f.u.
* energy of formation: 81 meV per atom
* crystal system: monoclinic



total magnetization of number 8 (La2Tb12Y)? 0.000 μB/f.u.



Copy entry 8 word for word.
This record from the Alexandria database describes a geometry-optimized La2Tb12Y structure. The functional is PBE.

a = 6.6908 Å, b = 6.6908 Å, c = 25.1616 Å
α = 83.45°, β = 96.55°, γ = 64.68°
Sites, in units of the cell vectors:
La1 0.4559 0.0441 0.2727
La2 0.5469 0.9531 0.7266
La3 0.9531 0.5469 0.2734
La4 0.0441 0.4559 0.7273
Tb1 0.6827 0.8173 0.5729
Tb2 0.8356 0.1692 0.4451
Tb3 0.3991 0.1009 0.8650
Tb4 0.3308 0.6644 0.4451
Tb5 0.0555 0.9445 0.0733
Tb6 0.9445 0.0555 0.9267
Tb7 0.4445 0.5555 0.9267
Tb8 0.6644 0.3308 0.5549
Tb9 0.0025 0.9997 0.6691
Tb10 0.8992 0.6008 0.8655
Tb11 0.8994 0.1002 0.1998
Tb12 0.1009 0.3991 0.1350
Tb13 0.6006 0.3998 0.8002
Tb14 0.5555 0.4445 0.0733
Tb15 0.6008 0.8992 0.1345
Tb16 0.1756 0.3244 0.5702
Tb17 0.5003 0.4975 0.6691
Tb18 0.8173 0.6827 0.4271
Tb19 0.4975 0.5003 0.3309
Tb20 0.9997 0.0025 0.3309
Tb21 0.3244 0.1756 0.4298
Tb22 0.1692 0.8356 0.5549
Tb23 0.1002 0.8994 0.8002
Tb24 0.3998 0.6006 0.1998
Y1 0.4999 0.0001 0.9998
Y2 0.0001 0.4999 0.0002

Summary:
* total magnetization: 0.000 μB/f.u.
* energy of formation: 106 meV per atom
* crystal system: monoclinic